1.
# Li2GePb meta-GGA SCAN single point on PBEsol structure
data_Li2GePb
_space_group_name_H-M_alt 'F m -3 m'
_space_group_IT_number 225
_space_group_name_Hall '-F 4 2 3'
_cell_length_a 6.6452
_cell_length_b 6.6452
_cell_length_c 6.6452
_cell_angle_alpha 90.00
_cell_angle_beta 90.00
_cell_angle_gamma 90.00
loop_
_atom_site_label
_atom_site_type_symbol
_atom_site_fract_x
_atom_site_fract_y
_atom_site_fract_z
Li1 Li 0.2500 0.2500 0.2500
Ge1 Ge 0.0000 0.0000 0.0000
Pb1 Pb 0.0000 0.0000 0.5000
# Density of states at the Fermi level: 1.0 states/eV/f.u.

2.
# DySnAu meta-GGA SCAN single point on PBEsol structure
data_DySnAu
_space_group_name_H-M_alt 'P 63 m c'
_space_group_IT_number 186
_space_group_name_Hall 'P 6c -2c'
_cell_length_a 4.6291
_cell_length_b 4.6291
_cell_length_c 7.2989
_cell_angle_alpha 90.00
_cell_angle_beta 90.00
_cell_angle_gamma 120.00
loop_
_atom_site_label
_atom_site_type_symbol
_atom_site_fract_x
_atom_site_fract_y
_atom_site_fract_z
Dy1 Dy 0.0000 0.0000 0.0000
Sn1 Sn 0.3333 0.6667 0.2737
Au1 Au 0.3333 0.6667 0.6730
# Density of states at the Fermi level: 0.3 states/eV/f.u.

The energy relative to the elements results, record by record, are as follows: -283; -1038 meV/atom.
The energy results, record by record, are as follows: -25.19; -52.00 eV/atom.
The magnetization results, record by record, are as follows: 0.00; 0.00 μB/f.u..